(1)
A geometry-optimized SmGaHg structure, computed with GGA-PBE.

Values from the calculation:
Excess energy over the best structure of this formula in the dataset (eV/atom): 0.177
Energy of formation from the pure elements (meV/atom): -342
Magnetic moment (μB/atom): 0.00

Cell: 3.545 3.545 6.222 Å, 106.55 106.55 90.00°
Fractional coordinates of all 3 atoms:
Hg 0.270 0.270 0.540
Ga 0.625 0.625 0.250
Sm 0.955 0.955 0.910



(2)
A geometry-optimized Ca2SmMnSe4 structure, computed with GGA-PBE.

Values from the calculation:
ΔE_f (raw) (meV/atom): -1523.2
Magnetic moment (μB/atom): 0.55

Cell: 4.114 7.102 7.197 Å, 109.80 90.00 90.00°
Site moments in Bohr magnetons follow the coordinates.
Fractional coordinates of all 8 atoms:
Ca 0.500 0.000 0.500  -0.01
Ca 0.000 0.500 0.500  0.00
Mn 0.000 0.000 0.000  4.16
Sm 0.500 0.500 0.000  -0.06
Se 0.000 0.756 0.247  0.02
Se 0.500 0.767 0.767  0.03
Se 0.500 0.233 0.233  0.03
Se 0.000 0.244 0.753  0.02



(3)
A geometry-optimized PmCdGa2Au4 structure, computed with GGA-PBE.

Values from the calculation:
Energy of formation from the pure elements (meV/atom): -405
Magnetic moment (μB/atom): 0.00

Cell: 4.493 4.493 9.776 Å, 76.72 76.72 60.00°
Fractional coordinates of all 8 atoms:
Au 0.879 0.879 0.362
Au 0.393 0.393 0.820
Au 0.607 0.607 0.180
Au 0.121 0.121 0.638
Ga 0.251 0.251 0.248
Ga 0.749 0.749 0.752
Cd 0.500 0.500 0.500
Pm 0.000 0.000 0.000



(4)
A geometry-optimized HfNb2Re2 structure, computed with GGA-PBE.

Values from the calculation:
Excess energy over the best structure of this formula in the dataset (eV/atom): 0.000
Energy of formation from the pure elements (meV/atom): 7
Magnetic moment (μB/atom): 0.00

Cell: 3.195 3.211 8.956 Å, 79.67 90.00 90.00°
Fractional coordinates of all 5 atoms:
Hf 0.000 0.000 0.000
Nb 0.000 0.818 0.364
Nb 0.000 0.182 0.636
Re 0.500 0.402 0.195
Re 0.500 0.598 0.805



(5)
A geometry-optimized SiTe3 structure, computed with GGA-PBE.

Values from the calculation:
ΔE_f (raw) (meV/atom): 271.7
Magnetic moment (μB/atom): 0.00

Cell: 6.382 6.382 5.925 Å, 77.10 77.10 31.95°
Fractional coordinates of all 4 atoms:
Te 0.500 0.500 0.500
Te 0.338 0.338 0.190
Te 0.662 0.662 0.810
Si 0.000 0.000 0.000



(6)
A geometry-optimized Nd8RhPb2 structure, computed with GGA-PBE.

Values from the calculation:
Energy of formation from the pure elements (meV/atom): -341
Magnetic moment (μB/atom): 0.00

Cell: 5.049 7.129 10.207 Å, 102.28 104.32 90.00°
Fractional coordinates of all 11 atoms:
Nd 0.215 0.331 0.430
Nd 0.357 0.988 0.714
Nd 0.591 0.481 0.183
Nd 0.013 0.779 0.026
Nd 0.987 0.221 0.974
Nd 0.643 0.012 0.286
Nd 0.785 0.669 0.570
Nd 0.409 0.519 0.817
Pb 0.818 0.232 0.635
Pb 0.182 0.768 0.365
Rh 0.500 0.000 0.000



(7)
A geometry-optimized LiGdHgRh structure, computed with GGA-PBE.

Values from the calculation:
Energy of formation from the pure elements (meV/atom): -421
Magnetic moment (μB/atom): 1.79

Cell: 4.784 4.784 4.784 Å, 60.00 60.00 60.00°
Site moments in Bohr magnetons follow the coordinates.
Fractional coordinates of all 4 atoms:
Hg 0.250 0.250 0.250  0.00
Gd 0.750 0.750 0.750  -7.03
Rh 0.000 0.000 0.000  0.03
Li 0.500 0.500 0.500  -0.01



(8)
A geometry-optimized CeNd4Sm15 structure, computed with GGA-PBE.

Values from the calculation:
Energy of formation from the pure elements (meV/atom): 28
Magnetic moment (μB/atom): 0.05

Cell: 5.147 5.147 25.690 Å, 90.00 90.00 90.00°
Site moments in Bohr magnetons follow the coordinates.
Fractional coordinates of all 20 atoms:
Sm 0.500 0.000 0.098  0.01
Sm 0.500 0.000 0.500  0.01
Sm 0.500 0.000 0.701  0.01
Sm 0.500 0.000 0.902  0.01
Sm 0.000 0.500 0.500  0.01
Sm 0.500 0.500 0.400  0.00
Sm 0.000 0.500 0.701  0.01
Sm 0.500 0.000 0.299  0.01
Sm 0.000 0.500 0.299  0.01
Sm 0.500 0.500 0.600  0.00
Sm 0.000 0.500 0.902  0.01
Sm 0.000 0.500 0.098  0.01
Sm 0.500 0.500 0.800  -0.01
Sm 0.500 0.500 0.200  -0.01
Sm 0.500 0.500 0.000  0.02
Nd 0.000 0.000 0.600  0.00
Nd 0.000 0.000 0.199  -0.01
Nd 0.000 0.000 0.801  -0.01
Nd 0.000 0.000 0.400  0.00
Ce 0.000 0.000 0.000  0.77